Record 1
Density functional theory data (GGA-PBE) for a relaxed TmCo12Si6 crystal.

Its electronic total energy is -387.06 eV for the cell shown. For the density of states at the Fermi level, the calculation gives 1.0406 states/eV/atom. The formation energy (no corrections) is -0.355 eV/atom.

The space group is R-3m (No. 166, hexagonal axes) and the conventional cell measures 10.3095, 10.3095 and 7.7153 Å, with angles of 90.00, 90.00 and 120.00 degrees. The inequivalent atoms are Tm at (0.0000, 0.0000, 0.0000), Co at (0.0000, 0.3723, 0.5000), Co at (0.0856, 0.1712, 0.3494) and Si at (0.0331, 0.5165, 0.2707).



Record 2
Density functional theory data (GGA-PBE) for a relaxed TmCoSi3 crystal.

Its electronic total energy is -62.15 eV for the cell shown. For the density of states at the Fermi level, the calculation gives 0.2902 states/eV/atom. The formation energy (no corrections) is -0.645 eV/atom.

The space group is I4mm (No. 107) and the conventional cell measures 4.023, 4.023 and 9.511 Å, with angles of 90.00, 90.00 and 90.00 degrees. The inequivalent atoms are Tm at (0.000, 0.000, 0.000), Co at (0.000, 0.000, 0.654), Si at (0.000, 0.000, 0.424) and Si at (0.000, 0.500, 0.257).



Record 3
Density functional theory data (GGA-PBE) for a relaxed Tm2CoSi3 crystal.

Its electronic total energy is -294.96 eV for the cell shown. For the density of states at the Fermi level, the calculation gives 0.4304 states/eV/atom. The formation energy (no corrections) is -0.759 eV/atom.

The space group is Fmmm (No. 69) and the conventional cell measures 7.879, 7.936 and 13.721 Å, with angles of 90.00, 90.00 and 90.00 degrees. The inequivalent atoms are Tm at (0.249, 0.000, 0.000), Tm at (0.250, 0.250, 0.250), Co at (0.000, 0.000, 0.166), Si at (0.000, 0.000, 0.328) and Si at (0.000, 0.242, 0.086).



Record 4
Density functional theory data (GGA-PBE) for a relaxed TmCo4Si12 crystal.

Its electronic total energy is -201.10 eV for the cell shown. For the density of states at the Fermi level, the calculation gives 0.6942 states/eV/atom. The formation energy (no corrections) is -0.152 eV/atom.

The space group is Im-3 (No. 204) and the conventional cell measures 7.999, 7.999 and 7.999 Å, with angles of 90.00, 90.00 and 90.00 degrees. The inequivalent atoms are Tm at (0.000, 0.000, 0.000), Co at (0.250, 0.250, 0.250) and Si at (0.000, 0.347, 0.165).



Record 5
Density functional theory data (GGA-PBE) for a relaxed TmCo3Si3 crystal.

For the energy relative to the lowest polymorph listed for this composition, the calculation gives 0 meV per atom. Its electronic total energy is -266.96 eV for the cell shown. For the density of states at the Fermi level, the calculation gives 0.9581 states/eV/atom. The formation energy (no corrections) is -0.348 eV/atom.

The space group is R-3 (No. 148, hexagonal axes) and the conventional cell measures 6.1992, 6.1992 and 19.4339 Å, with angles of 90.00, 90.00 and 120.00 degrees. The inequivalent atoms are Tm at (0.0000, 0.0000, 0.1692), Co at (0.0337, 0.2906, 0.7106) and Si at (0.0296, 0.2742, 0.5931).



Record 6
Density functional theory data (GGA-PBE) for a relaxed Tm2CoSi crystal.

For the energy relative to the lowest polymorph listed for this composition, the calculation gives 906 meV per atom. Its electronic total energy is -60.31 eV for the cell shown. For the density of states at the Fermi level, the calculation gives 0.4497 states/eV/atom. The formation energy (no corrections) is 0.342 eV/atom.

The space group is R-3m (No. 166, hexagonal axes) and the conventional cell measures 3.3153, 3.3153 and 27.3253 Å, with angles of 90.00, 90.00 and 120.00 degrees. The inequivalent atoms are Tm at (0.0000, 0.0000, 0.0893), Co at (0.0000, 0.0000, 0.0000) and Si at (0.0000, 0.0000, 0.5000).



Record 7
Density functional theory data (GGA-PBE) for a relaxed TmCo2Si3 crystal.

Its electronic total energy is -155.56 eV for the cell shown. For the density of states at the Fermi level, the calculation gives 0.3947 states/eV/atom. The formation energy (no corrections) is -0.656 eV/atom.

The space group is Cmcm (No. 63) and the conventional cell measures 9.270, 7.266 and 5.017 Å, with angles of 90.00, 90.00 and 90.00 degrees. The inequivalent atoms are Tm at (0.000, 0.162, 0.250), Co at (0.202, 0.500, 0.000), Si at (0.000, 0.440, 0.750) and Si at (0.185, 0.214, 0.750).



Record 8
Density functional theory data (GGA-PBE) for a relaxed TmCo2Si crystal.

Its electronic total energy is -51.62 eV for the cell shown. For the density of states at the Fermi level, the calculation gives 1.0361 states/eV/atom. The formation energy (no corrections) is -0.426 eV/atom.

The space group is P4/nmm (No. 129, origin choice 2) and the conventional cell measures 3.729, 3.729 and 8.875 Å, with angles of 90.00, 90.00 and 90.00 degrees. The inequivalent atoms are Tm at (0.250, 0.250, 0.218), Co at (0.250, 0.250, 0.909), Co at (0.250, 0.750, 0.500) and Si at (0.250, 0.250, 0.646).



Q: The highest electronic total energy belongs to which entry?
A: TmCo2Si



Q: Among the records above, which one has the lowest electronic total energy?
A: TmCo12Si6